VASP calculation (PBE) on AcThInHg after structural relaxation.

Geometry as POSCAR:
```
AcThInHg
1.0
-4.562 3.231 -0.416
-4.888 -2.242 -1.585
-4.168 -0.544 3.709
Ac Hg Th In
1 1 1 1
Cartesian
-6.809 0.223 0.854
-10.214 0.334 1.281
0.000 0.000 0.000
-3.405 0.111 0.427
```

- E: -3.91 eV/atom
- Energy of formation: -0.264 eV per atom
- V: 124.59 Å³/cell
- ρ: 10.32 g cm⁻³



VASP calculation (PBE) on Ac4Tl2InHg after structural relaxation.

Geometry as POSCAR:
```
Ac4Tl2InHg
1.0
5.816 0.000 0.000
2.908 5.037 0.000
2.908 1.679 9.491
Ac Tl In Hg
4 2 1 1
Cartesian
5.816 3.358 8.268
8.724 5.037 3.595
2.908 1.679 5.895
5.816 3.358 1.223
8.724 5.037 7.122
2.908 1.679 2.369
0.000 0.000 0.000
5.816 3.358 4.745
```

- E: -3.41 eV/atom
- Energy of formation: -0.389 eV per atom
- V: 278.06 Å³/cell
- ρ: 9.75 g cm⁻³



VASP calculation (PBE) on AcTmIn2Hg4 after structural relaxation.

Geometry as POSCAR:
```
AcTmIn2Hg4
1.0
5.201 0.000 0.000
2.600 4.504 0.000
2.600 1.501 8.928
Ac Tm In Hg
1 1 2 4
Cartesian
0.000 0.000 0.000
5.201 3.003 4.464
7.801 4.504 6.621
2.600 1.501 2.308
5.201 3.003 7.552
7.801 4.504 3.476
2.600 1.501 5.452
5.201 3.003 1.377
```

- E: -2.28 eV/atom
- Energy of formation: -0.371 eV per atom
- V: 209.13 Å³/cell
- ρ: 11.34 g cm⁻³



Q: Which formula does entry 3 have?
A: AcTmIn2Hg4



Q: Among the records above, which one has the lowest E?
A: AcThInHg



Q: Which of these has the highest E?
A: AcTmIn2Hg4